DFT (SCAN) results for a PBEsol-optimized structure of YHgAs2.

Cell lengths 3.832, 4.628, 4.628 Å; angles 90.00, 90.00, 90.00 degrees
Sites, in units of the cell vectors:
As  0.000  0.000  0.500
As  0.000  0.500  0.000
Y  0.500  0.000  0.000
Hg  0.500  0.500  0.500

Calculated values
For the formation energy, the calculation gives -0.615 eV/atom. As for the density of states at the Fermi level: 1.41 states/eV/cell. The value obtained for the total DFT energy (no corrections) is -34.712 eV/atom. As for the magnetic moment: 0.0 μB/f.u.



DFT (SCAN) results for a PBEsol-optimized structure of Y2HgAs.

Cell lengths 4.038, 4.038, 8.177 Å; angles 75.71, 75.71, 60.00 degrees
Sites, in units of the cell vectors:
Y  0.775  0.775  0.676
Y  0.985  0.985  0.046
Hg  0.235  0.235  0.295
As  0.506  0.506  0.483

Calculated values
For the formation energy, the calculation gives -0.532 eV/atom. The calculation puts the energy above the most stable polymorph in this dataset at 0.632 eV per atom. As for the density of states at the Fermi level: 1.33 states/eV/cell. The value obtained for the total DFT energy (no corrections) is -36.543 eV/atom. As for the magnetic moment: 1.0 μB/f.u.



DFT (SCAN) results for a PBEsol-optimized structure of Y2HgAs.

Cell lengths 3.974, 3.974, 7.784 Å; angles 75.21, 75.21, 60.00 degrees
Sites, in units of the cell vectors:
As  0.000  0.000  0.000
Hg  0.500  0.500  0.500
Y  0.740  0.740  0.780
Y  0.260  0.260  0.220

Calculated values
For the formation energy, the calculation gives -1.165 eV/atom. The calculation puts the energy above the most stable polymorph in this dataset at 0.000 eV per atom. As for the density of states at the Fermi level: 2.52 states/eV/cell. The value obtained for the total DFT energy (no corrections) is -37.175 eV/atom. As for the magnetic moment: 0.0 μB/f.u.



DFT (SCAN) results for a PBEsol-optimized structure of YHgAs2.

Cell lengths 3.572, 5.203, 5.410 Å; angles 101.97, 109.27, 90.00 degrees
Sites, in units of the cell vectors:
As  0.743  0.672  0.487
As  0.257  0.328  0.513
Hg  0.500  0.000  0.000
Y  0.000  0.500  0.000

Calculated values
For the formation energy, the calculation gives -0.501 eV/atom. As for the density of states at the Fermi level: 1.76 states/eV/cell. The value obtained for the total DFT energy (no corrections) is -34.599 eV/atom. As for the magnetic moment: 0.0 μB/f.u.



DFT (SCAN) results for a PBEsol-optimized structure of ZnHg2As.

Cell lengths 2.932, 3.750, 8.364 Å; angles 90.00, 90.00, 90.00 degrees
Sites, in units of the cell vectors:
Hg  0.500  0.500  0.242
Hg  0.000  0.000  0.001
As  0.500  0.500  0.567
Zn  0.000  0.000  0.690

Calculated values
For the formation energy, the calculation gives 0.108 eV/atom. The calculation puts the energy above the most stable polymorph in this dataset at 0.089 eV per atom. As for the density of states at the Fermi level: 1.74 states/eV/cell. The value obtained for the total DFT energy (no corrections) is -42.401 eV/atom. As for the magnetic moment: 0.0 μB/f.u.



DFT (SCAN) results for a PBEsol-optimized structure of Zn2HgAs.

Cell lengths 3.756, 3.884, 4.954 Å; angles 90.00, 90.00, 90.00 degrees
Sites, in units of the cell vectors:
Zn  0.000  0.500  0.500
Zn  0.000  0.000  0.000
As  0.500  0.500  0.000
Hg  0.500  0.000  0.500

Calculated values
For the formation energy, the calculation gives 0.228 eV/atom. As for the density of states at the Fermi level: 1.31 states/eV/cell. The value obtained for the total DFT energy (no corrections) is -28.619 eV/atom. As for the magnetic moment: 0.0 μB/f.u.



DFT (SCAN) results for a PBEsol-optimized structure of ZnHg2As.

Cell lengths 3.085, 3.085, 8.481 Å; angles 90.00, 90.00, 101.58 degrees
Sites, in units of the cell vectors:
Hg  0.000  0.000  0.734
Hg  0.000  0.000  0.266
Zn  0.500  0.500  0.500
As  0.500  0.500  0.000

Calculated values
For the formation energy, the calculation gives 0.301 eV/atom. The calculation puts the energy above the most stable polymorph in this dataset at 0.282 eV per atom. As for the density of states at the Fermi level: 1.76 states/eV/cell. The value obtained for the total DFT energy (no corrections) is -42.208 eV/atom. As for the magnetic moment: 0.0 μB/f.u.



DFT (SCAN) results for a PBEsol-optimized structure of ZnHg2As.

Cell lengths 4.220, 4.220, 4.678 Å; angles 90.00, 90.00, 95.79 degrees
Sites, in units of the cell vectors:
As  0.000  0.000  0.500
Hg  0.739  0.261  0.000
Hg  0.261  0.739  0.000
Zn  0.500  0.500  0.500

Calculated values
For the formation energy, the calculation gives 0.176 eV/atom. The calculation puts the energy above the most stable polymorph in this dataset at 0.156 eV per atom. As for the density of states at the Fermi level: 1.55 states/eV/cell. The value obtained for the total DFT energy (no corrections) is -42.334 eV/atom. As for the magnetic moment: 0.0 μB/f.u.



DFT (SCAN) results for a PBEsol-optimized structure of Zn2HgAs.

Cell lengths 3.758, 3.795, 5.333 Å; angles 90.00, 90.00, 90.00 degrees
Sites, in units of the cell vectors:
Hg  0.500  0.500  0.873
As  0.000  0.000  0.376
Zn  0.500  0.500  0.373
Zn  0.000  0.000  0.877

Calculated values
For the formation energy, the calculation gives 0.113 eV/atom. As for the density of states at the Fermi level: 1.20 states/eV/cell. The value obtained for the total DFT energy (no corrections) is -28.733 eV/atom. As for the magnetic moment: 0.0 μB/f.u.



DFT (SCAN) results for a PBEsol-optimized structure of ZnHg2As.

Cell lengths 4.146, 4.158, 6.477 Å; angles 89.65, 90.00, 119.90 degrees
Sites, in units of the cell vectors:
Zn  0.516  0.033  0.576
As  0.847  0.694  0.623
Hg  0.909  0.819  0.025
Hg  0.227  0.454  0.275

Calculated values
For the formation energy, the calculation gives 0.020 eV/atom. The calculation puts the energy above the most stable polymorph in this dataset at 0.000 eV per atom. As for the density of states at the Fermi level: 0.97 states/eV/cell. The value obtained for the total DFT energy (no corrections) is -42.490 eV/atom. As for the magnetic moment: 0.0 μB/f.u.



DFT (SCAN) results for a PBEsol-optimized structure of ZrHgAs.

Cell lengths 4.539, 4.539, 4.539 Å; angles 60.00, 60.00, 60.00 degrees
Sites, in units of the cell vectors:
As  0.750  0.750  0.750
Zr  0.500  0.500  0.500
Hg  0.000  0.000  0.000

Calculated values
For the formation energy, the calculation gives -0.103 eV/atom. As for the density of states at the Fermi level: 3.68 states/eV/cell. The value obtained for the total DFT energy (no corrections) is -39.788 eV/atom. As for the magnetic moment: 0.0 μB/f.u.



DFT (SCAN) results for a PBEsol-optimized structure of HoNi4As2.

Cell lengths 3.728, 7.119, 7.119 Å; angles 90.00, 90.00, 90.00 degrees
Sites, in units of the cell vectors:
Ni  0.000  0.911  0.654
Ni  0.500  0.846  0.411
Ni  0.000  0.089  0.346
Ni  0.500  0.411  0.846
Ni  0.000  0.654  0.911
Ni  0.000  0.346  0.089
Ni  0.500  0.154  0.589
Ni  0.500  0.589  0.154
Ho  0.500  0.000  0.000
Ho  0.000  0.500  0.500
As  0.000  0.782  0.218
As  0.500  0.718  0.718
As  0.500  0.282  0.282
As  0.000  0.218  0.782

Calculated values
For the formation energy, the calculation gives -0.674 eV/atom. As for the density of states at the Fermi level: 8.98 states/eV/cell. The value obtained for the total DFT energy (no corrections) is -22.683 eV/atom. As for the magnetic moment: 0.0 μB/f.u.